# 1
Computed, not measured: crystalline ZrTa2SnP at its relaxed geometry at the PBE-GGA level of DFT.

VASP energy (eV per atom): -8.27
SG: No. 123
DOS at the Fermi energy (states/eV/atom): 1.014

```
data_ZrTa2SnP
_chemical_formula_sum 'Zr1 Ta2 Sn1 P1'
_cell_length_a 4.601
_cell_length_b 4.601
_cell_length_c 4.969
_cell_angle_alpha 90.00
_cell_angle_beta 90.00
_cell_angle_gamma 90.00
_symmetry_space_group_name_H-M 'P 1'
_symmetry_Int_Tables_number 1
_symmetry_space_group_name_Hall 'P 1'
loop_
_atom_site_label
_atom_site_type_symbol
_atom_site_fract_x
_atom_site_fract_y
_atom_site_fract_z
Zr1 Zr 0.000 0.000 0.000
Ta1 Ta 0.000 0.500 0.500
Ta2 Ta 0.500 0.000 0.500
Sn1 Sn 0.500 0.500 0.000
P1 P 0.000 0.000 0.500
```

***

# 2
Computed, not measured: crystalline CaCl2 at its relaxed geometry at the PBE-GGA level of DFT.

Formation energy (no corrections) (meV per atom): -2366
SG: No. 205
DOS at the Fermi energy (states/eV/atom): 0.000

```
data_CaCl2
_chemical_formula_sum 'Ca4 Cl8'
_cell_length_a 6.826
_cell_length_b 6.826
_cell_length_c 6.826
_cell_angle_alpha 90.00
_cell_angle_beta 90.00
_cell_angle_gamma 90.00
_symmetry_space_group_name_H-M 'P 1'
_symmetry_Int_Tables_number 1
_symmetry_space_group_name_Hall 'P 1'
loop_
_atom_site_label
_atom_site_type_symbol
_atom_site_fract_x
_atom_site_fract_y
_atom_site_fract_z
Ca1 Ca 0.000 0.000 0.000
Ca2 Ca 0.000 0.500 0.500
Ca3 Ca 0.500 0.000 0.500
Ca4 Ca 0.500 0.500 0.000
Cl1 Cl 0.158 0.658 0.842
Cl2 Cl 0.158 0.842 0.342
Cl3 Cl 0.342 0.158 0.842
Cl4 Cl 0.342 0.342 0.342
Cl5 Cl 0.658 0.658 0.658
Cl6 Cl 0.658 0.842 0.158
Cl7 Cl 0.842 0.158 0.658
Cl8 Cl 0.842 0.342 0.158
```

***

# 3
Computed, not measured: crystalline RbTlSe2 at its relaxed geometry at the PBE-GGA level of DFT.

Formation energy (no corrections) (meV per atom): -460
SG: No. 166
DOS at the Fermi energy (states/eV/atom): 0.000

```
data_RbTlSe2
_chemical_formula_sum 'Rb1 Tl1 Se2'
_cell_length_a 8.472
_cell_length_b 8.472
_cell_length_c 8.472
_cell_angle_alpha 38.80
_cell_angle_beta 38.80
_cell_angle_gamma 38.80
_symmetry_space_group_name_H-M 'P 1'
_symmetry_Int_Tables_number 1
_symmetry_space_group_name_Hall 'P 1'
loop_
_atom_site_label
_atom_site_type_symbol
_atom_site_fract_x
_atom_site_fract_y
_atom_site_fract_z
Rb1 Rb 0.000 0.000 0.000
Tl1 Tl 0.500 0.500 0.500
Se1 Se 0.396 0.396 0.396
Se2 Se 0.604 0.604 0.604
```

***

# 4
Computed, not measured: crystalline PrAlBOs2 at its relaxed geometry at the PBE-GGA level of DFT.

VASP energy (eV per atom): -7.88
SG: No. 63
DOS at the Fermi energy (states/eV/atom): 0.466

```
data_PrAlBOs2
_chemical_formula_sum 'Pr2 Al2 B2 Os4'
_cell_length_a 5.844
_cell_length_b 5.844
_cell_length_c 7.445
_cell_angle_alpha 90.00
_cell_angle_beta 90.00
_cell_angle_gamma 137.86
_symmetry_space_group_name_H-M 'P 1'
_symmetry_Int_Tables_number 1
_symmetry_space_group_name_Hall 'P 1'
loop_
_atom_site_label
_atom_site_type_symbol
_atom_site_fract_x
_atom_site_fract_y
_atom_site_fract_z
Pr1 Pr 0.046 0.954 0.750
Pr2 Pr 0.954 0.046 0.250
Al1 Al 0.234 0.766 0.250
Al2 Al 0.766 0.234 0.750
B1 B 0.500 0.500 0.000
B2 B 0.500 0.500 0.500
Os1 Os 0.321 0.679 0.563
Os2 Os 0.321 0.679 0.937
Os3 Os 0.679 0.321 0.063
Os4 Os 0.679 0.321 0.437
```

***

# 5
Computed, not measured: crystalline Ag6SeSF2 at its relaxed geometry at the PBE-GGA level of DFT.

Formation energy (no corrections) (meV per atom): -441
SG: No. 1

```
data_Ag6SeSF2
_chemical_formula_sum 'Ag6 Se1 S1 F2'
_cell_length_a 6.292
_cell_length_b 6.517
_cell_length_c 6.536
_cell_angle_alpha 60.21
_cell_angle_beta 63.49
_cell_angle_gamma 62.01
_symmetry_space_group_name_H-M 'P 1'
_symmetry_Int_Tables_number 1
_symmetry_space_group_name_Hall 'P 1'
loop_
_atom_site_label
_atom_site_type_symbol
_atom_site_fract_x
_atom_site_fract_y
_atom_site_fract_z
Ag1 Ag 0.000 0.000 0.000
Ag2 Ag 0.022 0.632 0.835
Ag3 Ag 0.081 0.416 0.507
Ag4 Ag 0.319 0.829 0.301
Ag5 Ag 0.543 0.852 0.608
Ag6 Ag 0.631 0.319 0.335
Se1 Se 0.354 0.191 0.809
S1 S 0.785 0.691 0.257
F1 F 0.665 0.460 0.928
F2 F 0.983 0.057 0.528
```

***

# 6
Computed, not measured: crystalline Y3Al2Ga7 at its relaxed geometry at the PBE-GGA level of DFT.

VASP energy (eV per atom): -4.49
SG: No. 10
DOS at the Fermi energy (states/eV/atom): 0.295

```
data_Y3Al2Ga7
_chemical_formula_sum 'Y3 Al2 Ga7'
_cell_length_a 4.199
_cell_length_b 4.184
_cell_length_c 13.829
_cell_angle_alpha 90.00
_cell_angle_beta 98.53
_cell_angle_gamma 90.00
_symmetry_space_group_name_H-M 'P 1'
_symmetry_Int_Tables_number 1
_symmetry_space_group_name_Hall 'P 1'
loop_
_atom_site_label
_atom_site_type_symbol
_atom_site_fract_x
_atom_site_fract_y
_atom_site_fract_z
Y1 Y 0.000 0.000 0.000
Y2 Y 0.316 0.500 0.632
Y3 Y 0.684 0.500 0.368
Al1 Al 0.138 0.000 0.276
Al2 Al 0.862 0.000 0.724
Ga1 Ga 0.079 0.500 0.164
Ga2 Ga 0.228 0.000 0.456
Ga3 Ga 0.417 0.000 0.835
Ga4 Ga 0.500 0.500 0.000
Ga5 Ga 0.583 0.000 0.165
Ga6 Ga 0.772 0.000 0.544
Ga7 Ga 0.921 0.500 0.836
```

***

Magnetization values, unit μB per cell, following the record order: 0.0; 0.0; 0.0; 0.0; 0.0; 0.0.